VASP calculation (PBE) on a geometry-optimized LaPr3Ni8 structure.

CIF file:
```
data_LaPr3Ni8
_space_group_name_H-M_alt 'P 1'
_space_group_IT_number 1
_space_group_name_Hall 'P 1'
_cell_length_a 5.2025
_cell_length_b 5.2025
_cell_length_c 9.0201
_cell_angle_alpha 73.24
_cell_angle_beta 73.24
_cell_angle_gamma 60.00
loop_
_atom_site_label
_atom_site_fract_x
_atom_site_fract_y
_atom_site_fract_z
Pr1 0.3752 0.3752 0.8743
Pr2 0.5002 0.5002 0.4995
Pr3 0.9999 0.9999 0.0004
Ni1 0.4375 0.9381 0.1868
Ni2 0.4367 0.9375 0.6882
Ni3 0.4375 0.4375 0.1868
Ni4 0.9375 0.9375 0.6882
Ni5 0.1875 0.1875 0.4375
Ni6 0.9375 0.4367 0.6882
Ni7 0.9381 0.4375 0.1868
Ni8 0.6875 0.6875 0.9374
La1 0.8748 0.8748 0.3756
```

Total magnetization: 0.00 μB per formula unit
Density: 8.59 g cm⁻³
Energy of formation: -0.287 eV/atom
SG: R3m (160)
V: 199.36 Å³ per cell